A PBEsol-optimized structure of AgAu. Source: Alexandria via LeMat-Bulk, functional meta-GGA SCAN.

Calculated values
N(E_F) = 0.292 states/eV per atom
Formation energy = -0.059 eV/atom
Calculated total energy = -50.32 eV/atom

Unit cell a=2.8537 b=4.7226 c=4.9587 alpha=90.00 beta=90.00 gamma=90.00
Closest atoms and distances in Å follow each position.
Atoms (fractional coordinates):
Au 0.0000 0.5000 0.9129  6 Au 2.85-2.89, 6 Ag 2.85-2.87
Au 0.5000 0.0000 0.0871  6 Au 2.85-2.89, 6 Ag 2.85-2.87
Ag 0.0000 0.0000 0.5857  6 Ag 2.85-2.89, 6 Au 2.85-2.87
Ag 0.5000 0.5000 0.4143  6 Ag 2.85-2.89, 6 Au 2.85-2.87

***

A PBEsol-optimized structure of Nd6MgGe2S14. Source: Alexandria via LeMat-Bulk, functional meta-GGA SCAN.

Calculated values
N(E_F) = 0.000 states/eV per atom
Calculated total energy = -20.95 eV/atom
Raw formation energy = -1.839 eV per atom

Unit cell a=5.6922 b=10.1011 c=10.1011 alpha=120.00 beta=90.00 gamma=90.00
Closest atoms and distances in Å follow each position.
Atoms (fractional coordinates):
Nd 0.7628 0.0243 0.5640  8 S 2.81-3.11
Nd 0.7628 0.4360 0.4603  8 S 2.81-3.11
Nd 0.7628 0.5397 0.9757  8 S 2.81-3.11
Nd 0.2551 0.3093 0.1036  8 S 2.81-3.05
Nd 0.2551 0.8964 0.2057  8 S 2.81-3.05
Nd 0.2551 0.7943 0.6907  8 S 2.81-3.05
Mg 0.5224 0.6667 0.3333  6 S 2.60-2.61
Ge 0.1818 0.3333 0.6667  4 S 2.17-2.23
Ge 0.6724 0.0000 0.0000  4 S 2.18-2.23
S 0.0250 0.5639 0.7483  1 Ge 2.23
S 0.0250 0.2517 0.8156  1 Ge 2.23
S 0.0250 0.1844 0.4361  1 Ge 2.23
S 0.5185 0.7688 0.9177  1 Ge 2.23
S 0.5185 0.0823 0.8512  1 Ge 2.23
S 0.5185 0.1488 0.2312  1 Ge 2.23
S 0.7636 0.8284 0.2454  1 Mg 2.61, 2 Nd 2.81-2.83
S 0.7636 0.7546 0.5830  1 Mg 2.61, 2 Nd 2.81-2.83
S 0.7636 0.4170 0.1716  1 Mg 2.61, 2 Nd 2.81-2.83
S 0.2830 0.5072 0.4237  1 Mg 2.60, 3 Nd 2.81-2.89
S 0.2830 0.5763 0.0835  1 Mg 2.60, 3 Nd 2.81-2.89
S 0.2830 0.9165 0.4928  1 Mg 2.60, 3 Nd 2.81-2.89
S 0.5637 0.3333 0.6667  1 Ge 2.17
S 0.0553 0.0000 0.0000  1 Ge 2.18

***

A PBEsol-optimized structure of Be17Os3. Source: Alexandria via LeMat-Bulk, functional meta-GGA SCAN.

Calculated values
N(E_F) = 0.120 states/eV per atom
Formation energy = -0.305 eV/atom
Calculated total energy = -14.79 eV/atom

Unit cell a=9.7707 b=9.7707 c=9.7707 alpha=109.47 beta=109.47 gamma=109.47
Closest atoms and distances in Å follow each position.
Atoms (fractional coordinates):
Be 0.4030 0.0000 0.4030  7 Be 2.19-2.28, 2 Os 2.41
Be 0.5970 0.0000 0.5970  7 Be 2.19-2.28, 2 Os 2.41
Be 0.0000 0.5970 0.5970  7 Be 2.19-2.28, 2 Os 2.41
Be 0.0000 0.4030 0.4030  7 Be 2.19-2.28, 2 Os 2.41
Be 0.4030 0.4030 0.0000  7 Be 2.19-2.28, 2 Os 2.41
Be 0.5970 0.5970 0.0000  7 Be 2.19-2.28, 2 Os 2.41
Be 0.6983 0.5000 0.1983  8 Be 2.04-2.21
Be 0.3017 0.5000 0.8017  8 Be 2.04-2.21
Be 0.5000 0.8017 0.3017  8 Be 2.04-2.21
Be 0.5000 0.1983 0.6983  8 Be 2.04-2.21
Be 0.1983 0.6983 0.5000  8 Be 2.04-2.21
Be 0.8017 0.3017 0.5000  8 Be 2.04-2.21
Be 0.0000 0.6731 0.0000  6 Be 2.12-2.16
Be 0.3269 0.3269 0.3269  6 Be 2.12-2.16
Be 0.0000 0.0000 0.6731  6 Be 2.12-2.16
Be 0.6731 0.0000 0.0000  6 Be 2.12-2.16
Be 0.0000 0.3269 0.0000  6 Be 2.12-2.16
Be 0.6731 0.6731 0.6731  6 Be 2.12-2.16
Be 0.0000 0.0000 0.3269  6 Be 2.12-2.16
Be 0.3269 0.0000 0.0000  6 Be 2.12-2.16
Be 0.9069 0.6738 0.7670  6 Be 2.10-2.19
Be 0.0931 0.3262 0.2330  6 Be 2.10-2.19
Be 0.0931 0.8601 0.7670  6 Be 2.10-2.19
Be 0.9069 0.1399 0.2330  6 Be 2.10-2.19
Be 0.1399 0.2330 0.9069  6 Be 2.10-2.19
Be 0.8601 0.7670 0.0931  6 Be 2.10-2.19
Be 0.3262 0.2330 0.0931  6 Be 2.10-2.19
Be 0.6738 0.7670 0.9069  6 Be 2.10-2.19
Be 0.2330 0.0931 0.3262  6 Be 2.10-2.19
Be 0.7670 0.9069 0.6738  6 Be 2.10-2.19
Be 0.2330 0.9069 0.1399  6 Be 2.10-2.19
Be 0.7670 0.0931 0.8601  6 Be 2.10-2.19
Be 0.6489 0.2448 0.5958  9 Be 2.04-2.28
Be 0.3511 0.7552 0.4042  9 Be 2.04-2.28
Be 0.3511 0.9469 0.5958  9 Be 2.04-2.28
Be 0.6489 0.0531 0.4042  9 Be 2.04-2.28
Be 0.0531 0.4042 0.6489  9 Be 2.04-2.28
Be 0.9469 0.5958 0.3511  9 Be 2.04-2.28
Be 0.7552 0.4042 0.3511  9 Be 2.04-2.28
Be 0.2448 0.5958 0.6489  9 Be 2.04-2.28
Be 0.4042 0.3511 0.7552  9 Be 2.04-2.28
Be 0.5958 0.6489 0.2448  9 Be 2.04-2.28
Be 0.4042 0.6489 0.0531  9 Be 2.04-2.28
Be 0.5958 0.3511 0.9469  9 Be 2.04-2.28
Be 0.8610 0.5449 0.0873  7 Be 2.12-2.24
Be 0.5424 0.4551 0.3161  7 Be 2.12-2.24
Be 0.1390 0.2263 0.6839  7 Be 2.12-2.24
Be 0.4576 0.7737 0.9127  7 Be 2.12-2.24
Be 0.7737 0.9127 0.4576  7 Be 2.12-2.24
Be 0.2263 0.6839 0.1390  7 Be 2.12-2.24
Be 0.4551 0.3161 0.5424  7 Be 2.12-2.24
Be 0.5449 0.0873 0.8610  7 Be 2.12-2.24
Be 0.3161 0.5424 0.4551  7 Be 2.12-2.24
Be 0.0873 0.8610 0.5449  7 Be 2.12-2.24
Be 0.9127 0.4576 0.7737  7 Be 2.12-2.24
Be 0.6839 0.1390 0.2263  7 Be 2.12-2.24
Be 0.1390 0.4551 0.9127  7 Be 2.12-2.24
Be 0.4576 0.5449 0.6839  7 Be 2.12-2.24
Be 0.8610 0.7737 0.3161  7 Be 2.12-2.24
Be 0.5424 0.2263 0.0873  7 Be 2.12-2.24
Be 0.2263 0.0873 0.5424  7 Be 2.12-2.24
Be 0.7737 0.3161 0.8610  7 Be 2.12-2.24
Be 0.5449 0.6839 0.4576  7 Be 2.12-2.24
Be 0.4551 0.9127 0.1390  7 Be 2.12-2.24
Be 0.6839 0.4576 0.5449  7 Be 2.12-2.24
Be 0.9127 0.1390 0.4551  7 Be 2.12-2.24
Be 0.0873 0.5424 0.2263  7 Be 2.12-2.24
Be 0.3161 0.8610 0.7737  7 Be 2.12-2.24
Os 0.6986 0.5107 0.8121  16 Be 2.38-2.58
Os 0.3014 0.4893 0.1879  16 Be 2.38-2.58
Os 0.3014 0.1135 0.8121  16 Be 2.38-2.58
Os 0.6986 0.8865 0.1879  16 Be 2.38-2.58
Os 0.8865 0.1879 0.6986  16 Be 2.38-2.58
Os 0.1135 0.8121 0.3014  16 Be 2.38-2.58
Os 0.4893 0.1879 0.3014  16 Be 2.38-2.58
Os 0.5107 0.8121 0.6986  16 Be 2.38-2.58
Os 0.1879 0.3014 0.4893  16 Be 2.38-2.58
Os 0.8121 0.6986 0.5107  16 Be 2.38-2.58
Os 0.1879 0.6986 0.8865  16 Be 2.38-2.58
Os 0.8121 0.3014 0.1135  16 Be 2.38-2.58

***

A PBEsol-optimized structure of Ta2FeAu. Source: Alexandria via LeMat-Bulk, functional meta-GGA SCAN.

Calculated values
N(E_F) = 0.805 states/eV per atom
Energy above the lowest structure with this stoichiometry = 0.0 meV/atom
Formation energy = -0.074 eV/atom
Calculated total energy = -55.19 eV/atom

Unit cell a=3.9290 b=3.9290 c=3.9530 alpha=90.00 beta=90.00 gamma=90.00
Closest atoms and distances in Å follow each position.
Atoms (fractional coordinates):
Au 0.5000 0.5000 0.5000  4 Fe 2.78, 8 Ta 2.79
Fe 0.0000 0.0000 0.5000  4 Au 2.78, 8 Ta 2.79
Ta 0.0000 0.5000 0.0000  4 Ta 2.78, 4 Fe 2.79, 4 Au 2.79
Ta 0.5000 0.0000 0.0000  4 Ta 2.78, 4 Fe 2.79, 4 Au 2.79

***

A PBEsol-optimized structure of MnNiPt3. Source: Alexandria via LeMat-Bulk, functional meta-GGA SCAN.

Calculated values
N(E_F) = 1.644 states/eV per atom
Formation energy = 0.757 eV/atom
Calculated total energy = -48.24 eV/atom

Unit cell a=4.4754 b=4.4754 c=4.4754 alpha=90.00 beta=90.00 gamma=90.00
Closest atoms and distances in Å follow each position.
Atoms (fractional coordinates):
Ni 0.0000 0.0000 0.0000  6 Pt 2.24
Mn 0.5000 0.5000 0.5000  12 Pt 3.16
Pt 0.0000 0.5000 0.0000  2 Ni 2.24
Pt 0.0000 0.0000 0.5000  2 Ni 2.24
Pt 0.5000 0.0000 0.0000  2 Ni 2.24

***

A PBEsol-optimized structure of AlFeSbPd2. Source: Alexandria via LeMat-Bulk, functional meta-GGA SCAN.

Calculated values
N(E_F) = 0.475 states/eV per atom
Calculated total energy = -24.80 eV/atom
Raw formation energy = 0.936 eV per atom

Unit cell a=4.8522 b=4.8522 c=5.0016 alpha=90.00 beta=90.00 gamma=90.00
Closest atoms and distances in Å follow each position.
Atoms (fractional coordinates):
Sb 0.0000 0.0000 0.0000  4 Pd 2.43, 2 Al 2.50
Fe 0.5000 0.5000 0.5000  4 Al 3.43, 8 Pd 3.48
Pd 0.0000 0.5000 0.0000  2 Sb 2.43
Pd 0.5000 0.0000 0.0000  2 Sb 2.43
Al 0.0000 0.0000 0.5000  2 Sb 2.50

***

Which of these has the lowest calculated total energy?
Ta2FeAu